Record 1
{
  "formula": "Zr2SnTe",
  "functional": "PBE",
  "state": "relaxed",
  "e_form_raw_ev_per_atom": 0.206,
  "spacegroup": "No. 122",
  "m_tot_mub_per_cell": 0.00,
  "cell": [[-6.331, 1.078, -1.136], [-1.537, -3.356, 5.376], [-3.628, 4.383, 5.655]],
  "species": ["Te", "Te", "Sn", "Sn", "Zr", "Zr", "Zr", "Zr"],
  "frac_coords": [[0.000, 0.000, 0.000], [0.750, 0.250, 0.500], [0.500, 0.500, 0.000], [0.250, 0.750, 0.500], [0.619, 0.125, 0.250], [0.131, 0.625, 0.250], [0.375, 0.381, 0.750], [0.875, 0.869, 0.750]]
}

=====

Record 2
{
  "formula": "Zr6Sn3Te",
  "functional": "PBE",
  "state": "relaxed",
  "e_form_raw_ev_per_atom": -0.273,
  "spacegroup": "No. 36",
  "m_tot_mub_per_cell": 0.00,
  "cell": [[-1.220, -6.765, 2.305], [8.229, -2.008, -1.539], [-0.566, 2.861, 8.100]],
  "species": ["Zr", "Zr", "Zr", "Zr", "Zr", "Zr", "Zr", "Zr", "Zr", "Zr", "Zr", "Zr", "Sn", "Sn", "Sn", "Sn", "Sn", "Sn", "Te", "Te"],
  "frac_coords": [[0.159, 0.726, 0.602], [0.659, 0.602, 0.726], [0.257, 0.456, 0.934], [0.757, 0.934, 0.456], [0.243, 0.012, 0.988], [0.600, 0.248, 0.752], [0.100, 0.752, 0.248], [0.743, 0.988, 0.012], [0.257, 0.066, 0.544], [0.757, 0.544, 0.066], [0.159, 0.398, 0.274], [0.659, 0.274, 0.398], [0.501, 0.903, 0.714], [0.001, 0.714, 0.903], [0.327, 0.414, 0.586], [0.827, 0.586, 0.414], [0.001, 0.097, 0.286], [0.501, 0.286, 0.097], [0.982, 0.177, 0.823], [0.482, 0.823, 0.177]]
}

=====

Record 3
{
  "formula": "ZrSn2Te",
  "functional": "PBE",
  "state": "relaxed",
  "e_form_raw_ev_per_atom": 0.418,
  "spacegroup": "No. 122",
  "m_tot_mub_per_cell": 0.00,
  "cell": [[6.776, 0.000, 0.000], [0.000, 6.776, 0.000], [3.388, 3.388, 6.781]],
  "species": ["Te", "Te", "Sn", "Sn", "Sn", "Sn", "Zr", "Zr"],
  "frac_coords": [[0.000, 0.000, 0.000], [0.750, 0.250, 0.500], [0.611, 0.125, 0.250], [0.139, 0.625, 0.250], [0.375, 0.389, 0.750], [0.875, 0.861, 0.750], [0.500, 0.500, 0.000], [0.250, 0.750, 0.500]]
}

=====

Record 4
{
  "formula": "Zr3SnTe",
  "functional": "PBE",
  "state": "relaxed",
  "e_form_raw_ev_per_atom": 0.471,
  "spacegroup": "No. 221",
  "m_tot_mub_per_cell": 0.00,
  "cell": [[-1.337, 2.706, -4.306], [-5.079, -0.483, 1.274], [0.260, 4.483, 2.736]],
  "species": ["Te", "Sn", "Zr", "Zr", "Zr"],
  "frac_coords": [[0.000, 0.000, 0.000], [0.500, 0.500, 0.500], [0.000, 0.500, 0.000], [0.000, 0.000, 0.500], [0.500, 0.000, 0.000]]
}

=====

Record 5
{
  "formula": "Th5Sn",
  "functional": "PBE",
  "state": "relaxed",
  "spacegroup": "No. 65",
  "e_form_mev_per_atom": -152.6,
  "m_tot_mub_per_cell": 0.00,
  "cell": [[4.891, 0.000, 0.000], [0.000, 4.915, 0.000], [0.000, -2.458, 7.744]],
  "species": ["Sn", "Th", "Th", "Th", "Th", "Th"],
  "frac_coords": [[0.000, 0.000, 0.000], [0.500, 0.835, 0.671], [0.000, 0.662, 0.325], [0.500, 0.500, 0.000], [0.000, 0.338, 0.675], [0.500, 0.165, 0.329]]
}

=====

Record 6
{
  "formula": "ThSn2",
  "functional": "PBE",
  "state": "relaxed",
  "spacegroup": "No. 227",
  "e_form_mev_per_atom": -199.8,
  "m_tot_mub_per_cell": 0.00,
  "cell": [[-5.394, -0.635, 2.905], [-0.123, -1.164, 6.047], [-1.909, 4.338, 3.933]],
  "species": ["Sn", "Sn", "Sn", "Sn", "Th", "Th"],
  "frac_coords": [[0.125, 0.625, 0.625], [0.625, 0.125, 0.625], [0.625, 0.625, 0.625], [0.625, 0.625, 0.125], [0.000, 0.000, 0.000], [0.250, 0.250, 0.250]]
}

=====

Record 7
{
  "formula": "Th3Sn5",
  "functional": "PBE",
  "state": "relaxed",
  "spacegroup": "No. 65",
  "e_form_mev_per_atom": -451.5,
  "m_tot_mub_per_cell": 0.00,
  "cell": [[-2.244, 3.739, -5.259], [3.169, -4.586, -3.951], [-4.026, -2.644, -0.161]],
  "species": ["Th", "Th", "Th", "Sn", "Sn", "Sn", "Sn", "Sn"],
  "frac_coords": [[0.500, 0.500, 0.000], [0.220, 0.780, 0.500], [0.780, 0.220, 0.500], [0.000, 0.000, 0.000], [0.500, 0.000, 0.000], [0.000, 0.500, 0.000], [0.268, 0.268, 0.500], [0.732, 0.732, 0.500]]
}

=====

Record 8
{
  "formula": "Th7Sn",
  "functional": "PBE",
  "state": "relaxed",
  "spacegroup": "No. 225",
  "e_form_mev_per_atom": -132.8,
  "m_tot_mub_per_cell": 0.00,
  "cell": [[6.109, 0.000, 3.527], [2.036, 5.759, 3.527], [0.000, 0.000, 7.054]],
  "species": ["Th", "Th", "Th", "Th", "Th", "Th", "Th", "Sn"],
  "frac_coords": [[0.500, 0.500, 0.000], [0.500, 0.000, 0.500], [0.000, 0.500, 0.500], [0.500, 0.000, 0.000], [0.000, 0.500, 0.000], [0.000, 0.000, 0.500], [0.500, 0.500, 0.500], [0.000, 0.000, 0.000]]
}

=====

Record 9
{
  "formula": "Th6Sn5",
  "functional": "PBE",
  "state": "relaxed",
  "spacegroup": "No. 12",
  "e_form_mev_per_atom": -302.2,
  "m_tot_mub_per_cell": 0.00,
  "cell": [[7.727, 0.000, -0.035], [3.863, 6.661, -0.017], [2.618, 0.000, 7.332]],
  "species": ["Th", "Th", "Th", "Th", "Th", "Th", "Sn", "Sn", "Sn", "Sn", "Sn"],
  "frac_coords": [[0.758, 0.000, 0.744], [0.242, 0.000, 0.256], [0.406, 0.674, 0.757], [0.920, 0.674, 0.243], [0.594, 0.326, 0.243], [0.080, 0.326, 0.757], [0.500, 0.000, 0.500], [0.336, 0.329, 0.000], [0.664, 0.671, 0.000], [0.174, 0.651, 0.500], [0.826, 0.349, 0.500]]
}

=====

Record 10
{
  "formula": "ThSn2",
  "functional": "PBE",
  "state": "relaxed",
  "spacegroup": "No. 69",
  "e_form_mev_per_atom": -335.5,
  "m_tot_mub_per_cell": 0.00,
  "cell": [[-0.939, 0.804, -3.718], [2.921, -2.318, -1.201], [-4.383, -3.481, 2.404]],
  "species": ["Sn", "Sn", "Th"],
  "frac_coords": [[0.185, 0.185, 0.370], [0.815, 0.815, 0.630], [0.500, 0.500, 0.000]]
}

=====

Record 11
{
  "formula": "Th2Sn",
  "functional": "PBE",
  "state": "relaxed",
  "spacegroup": "No. 62",
  "e_form_mev_per_atom": -399.1,
  "m_tot_mub_per_cell": 0.00,
  "cell": [[5.114, 0.000, 0.000], [0.000, 6.845, 0.000], [0.000, 0.000, 10.348]],
  "species": ["Th", "Th", "Th", "Th", "Th", "Th", "Th", "Th", "Sn", "Sn", "Sn", "Sn"],
  "frac_coords": [[0.750, 0.412, 0.722], [0.250, 0.088, 0.222], [0.750, 0.912, 0.778], [0.250, 0.588, 0.278], [0.750, 0.339, 0.063], [0.250, 0.161, 0.563], [0.750, 0.839, 0.437], [0.250, 0.661, 0.937], [0.750, 0.823, 0.113], [0.250, 0.677, 0.613], [0.750, 0.323, 0.387], [0.250, 0.177, 0.887]]
}

=====

Record 12
{
  "formula": "Th5Sn3",
  "functional": "PBE",
  "state": "relaxed",
  "spacegroup": "No. 193",
  "e_form_mev_per_atom": -487.1,
  "m_tot_mub_per_cell": 0.00,
  "cell": [[-6.900, 5.719, 2.968], [-0.956, -9.358, 0.794], [2.703, 0.221, 5.858]],
  "species": ["Th", "Th", "Th", "Th", "Th", "Th", "Th", "Th", "Th", "Th", "Sn", "Sn", "Sn", "Sn", "Sn", "Sn"],
  "frac_coords": [[0.667, 0.333, 0.000], [0.333, 0.667, 0.500], [0.333, 0.667, 0.000], [0.667, 0.333, 0.500], [0.747, 0.747, 0.750], [0.253, 0.253, 0.250], [0.000, 0.253, 0.750], [0.253, 0.000, 0.750], [0.747, 0.000, 0.250], [0.000, 0.747, 0.250], [0.388, 0.388, 0.750], [0.612, 0.612, 0.250], [0.000, 0.612, 0.750], [0.612, 0.000, 0.750], [0.388, 0.000, 0.250], [0.000, 0.388, 0.250]]
}

=====

Record 13
{
  "formula": "ThSn2",
  "functional": "PBE",
  "state": "relaxed",
  "spacegroup": "No. 63",
  "e_form_mev_per_atom": -538.6,
  "m_tot_mub_per_cell": 0.00,
  "cell": [[-3.765, -2.150, 0.866], [1.643, -1.251, 4.039], [-4.050, 7.690, 1.482]],
  "species": ["Th", "Th", "Sn", "Sn", "Sn", "Sn"],
  "frac_coords": [[0.750, 0.102, 0.204], [0.250, 0.898, 0.796], [0.250, 0.562, 0.124], [0.750, 0.438, 0.876], [0.750, 0.750, 0.499], [0.250, 0.250, 0.501]]
}

=====

Record 14
{
  "formula": "Th4Sn",
  "functional": "PBE",
  "state": "relaxed",
  "spacegroup": "No. 221",
  "e_form_mev_per_atom": 659.0,
  "m_tot_mub_per_cell": 0.00,
  "cell": [[5.856, 0.000, 0.000], [0.000, 5.856, 0.000], [0.000, 0.000, 5.856]],
  "species": ["Sn", "Th", "Th", "Th", "Th"],
  "frac_coords": [[0.500, 0.500, 0.500], [0.000, 0.000, 0.000], [0.500, 0.000, 0.500], [0.000, 0.500, 0.500], [0.500, 0.500, 0.000]]
}

=====

Record 15
{
  "formula": "ThSn3",
  "functional": "PBE",
  "state": "relaxed",
  "spacegroup": "No. 44",
  "e_form_mev_per_atom": -309.3,
  "m_tot_mub_per_cell": 0.00,
  "cell": [[3.717, 0.000, 0.000], [0.000, 5.525, 0.000], [-1.858, -2.763, 5.421]],
  "species": ["Sn", "Sn", "Sn", "Th"],
  "frac_coords": [[0.247, 0.599, 0.494], [0.500, 0.478, 0.000], [0.753, 0.106, 0.506], [0.000, 0.984, 0.000]]
}

=====

Record 16
{
  "formula": "ThSn3",
  "functional": "PBE",
  "state": "relaxed",
  "spacegroup": "No. 221",
  "e_form_mev_per_atom": -448.4,
  "m_tot_mub_per_cell": 0.00,
  "cell": [[4.752, 0.000, 0.000], [0.000, 4.752, 0.000], [0.000, 0.000, 4.753]],
  "species": ["Sn", "Sn", "Sn", "Th"],
  "frac_coords": [[0.000, 0.000, 0.083], [0.000, 0.500, 0.583], [0.500, 0.500, 0.083], [0.500, 0.000, 0.583]]
}

=====

Record 17
{
  "formula": "Th5Sn3",
  "functional": "PBE",
  "state": "relaxed",
  "spacegroup": "No. 140",
  "e_form_mev_per_atom": -439.5,
  "m_tot_mub_per_cell": 0.00,
  "cell": [[-5.089, -6.498, 0.256], [-2.785, 1.884, -7.542], [9.058, -1.819, 0.722]],
  "species": ["Th", "Th", "Th", "Th", "Th", "Th", "Th", "Th", "Th", "Th", "Sn", "Sn", "Sn", "Sn", "Sn", "Sn"],
  "frac_coords": [[0.000, 0.000, 0.000], [0.500, 0.500, 0.000], [0.504, 0.004, 0.692], [0.188, 0.688, 0.692], [0.688, 0.504, 0.692], [0.004, 0.188, 0.692], [0.496, 0.996, 0.308], [0.812, 0.312, 0.308], [0.312, 0.496, 0.308], [0.996, 0.812, 0.308], [0.750, 0.750, 0.500], [0.250, 0.250, 0.500], [0.136, 0.636, 0.000], [0.864, 0.364, 0.000], [0.364, 0.136, 0.000], [0.636, 0.864, 0.000]]
}

=====

Record 18
{
  "formula": "Th4Sn3",
  "functional": "PBE",
  "state": "relaxed",
  "spacegroup": "No. 166",
  "e_form_mev_per_atom": 94.3,
  "m_tot_mub_per_cell": 0.00,
  "cell": [[-7.270, -3.492, -4.435], [-7.232, -3.132, 4.755], [-7.963, 4.615, -0.147]],
  "species": ["Th", "Th", "Th", "Th", "Th", "Th", "Th", "Th", "Sn", "Sn", "Sn", "Sn", "Sn", "Sn"],
  "frac_coords": [[0.719, 0.260, 0.260], [0.740, 0.740, 0.281], [0.739, 0.739, 0.739], [0.260, 0.260, 0.719], [0.740, 0.281, 0.740], [0.261, 0.261, 0.261], [0.281, 0.740, 0.740], [0.260, 0.719, 0.260], [0.500, 0.000, 0.500], [0.000, 0.500, 0.500], [0.500, 0.500, 0.000], [0.500, 0.500, 0.500], [0.875, 0.875, 0.875], [0.125, 0.125, 0.125]]
}

=====

Record 19
{
  "formula": "ThTiSn2",
  "functional": "PBE",
  "state": "relaxed",
  "spacegroup": "No. 166",
  "e_form_mev_per_atom": 89.8,
  "m_tot_mub_per_cell": 0.06,
  "cell": [[-2.376, 0.971, 2.032], [-3.043, -1.148, -0.373], [0.581, -8.618, 7.432]],
  "species": ["Sn", "Sn", "Th", "Ti"],
  "frac_coords": [[0.098, 0.098, 0.706], [0.902, 0.902, 0.294], [0.000, 0.000, 0.000], [0.500, 0.500, 0.500]]
}

=====

Record 20
{
  "formula": "Th3TiSn5",
  "functional": "PBE",
  "state": "relaxed",
  "spacegroup": "No. 193",
  "e_form_mev_per_atom": -554.3,
  "m_tot_mub_per_cell": 0.00,
  "cell": [[-4.645, 3.622, -1.995], [-3.316, -7.131, -5.229], [-2.961, 1.105, 8.900]],
  "species": ["Th", "Th", "Th", "Th", "Th", "Th", "Ti", "Ti", "Sn", "Sn", "Sn", "Sn", "Sn", "Sn", "Sn", "Sn", "Sn", "Sn"],
  "frac_coords": [[0.750, 0.385, 0.000], [0.750, 0.615, 0.615], [0.750, 0.000, 0.385], [0.250, 0.615, 0.000], [0.250, 0.385, 0.385], [0.250, 0.000, 0.615], [0.000, 0.000, 0.000], [0.500, 0.000, 0.000], [0.000, 0.333, 0.667], [0.500, 0.667, 0.333], [0.000, 0.667, 0.333], [0.500, 0.333, 0.667], [0.750, 0.743, 0.000], [0.750, 0.257, 0.257], [0.750, 0.000, 0.743], [0.250, 0.257, 0.000], [0.250, 0.743, 0.743], [0.250, 0.000, 0.257]]
}

=====

Record 21
{
  "formula": "ThTi6Sn6",
  "functional": "PBE",
  "state": "relaxed",
  "spacegroup": "No. 71",
  "e_form_mev_per_atom": -406.8,
  "m_tot_mub_per_cell": 1.44,
  "cell": [[5.383, 0.000, 2.151], [2.631, 6.890, 1.228], [0.133, -0.001, 7.475]],
  "species": ["Th", "Ti", "Ti", "Ti", "Ti", "Ti", "Ti", "Sn", "Sn", "Sn", "Sn", "Sn", "Sn"],
  "frac_coords": [[0.000, 0.000, 0.000], [0.000, 0.500, 0.000], [0.500, 0.500, 0.000], [0.000, 0.000, 0.500], [0.500, 0.000, 0.500], [0.500, 0.749, 0.251], [0.500, 0.251, 0.749], [0.336, 0.664, 0.664], [0.664, 0.336, 0.336], [0.000, 0.329, 0.671], [0.000, 0.671, 0.329], [0.336, 0.164, 0.164], [0.664, 0.836, 0.836]]
}

=====

Record 22
{
  "formula": "ThTi4Sn",
  "functional": "PBE",
  "state": "relaxed",
  "spacegroup": "No. 216",
  "e_form_mev_per_atom": 64.4,
  "m_tot_mub_per_cell": 1.34,
  "cell": [[5.600, 0.000, 0.000], [2.800, 4.850, 0.000], [2.800, 1.617, 4.572]],
  "species": ["Sn", "Th", "Ti", "Ti", "Ti", "Ti"],
  "frac_coords": [[0.000, 0.000, 0.000], [0.250, 0.250, 0.250], [0.623, 0.623, 0.131], [0.623, 0.131, 0.623], [0.623, 0.623, 0.623], [0.131, 0.623, 0.623]]
}

=====

Record 23
{
  "formula": "ThTiSn2",
  "functional": "PBE",
  "state": "relaxed",
  "spacegroup": "No. 123",
  "e_form_mev_per_atom": -256.0,
  "m_tot_mub_per_cell": 0.00,
  "cell": [[4.552, 0.000, 0.000], [0.000, 4.658, 0.000], [0.000, 0.000, 4.658]],
  "species": ["Sn", "Sn", "Th", "Ti"],
  "frac_coords": [[0.000, 0.000, 0.500], [0.000, 0.500, 0.000], [0.500, 0.000, 0.000], [0.500, 0.500, 0.500]]
}

=====

Record 24
{
  "formula": "ThTiSn2",
  "functional": "PBE",
  "state": "relaxed",
  "spacegroup": "No. 123",
  "e_form_mev_per_atom": -297.7,
  "m_tot_mub_per_cell": 0.00,
  "cell": [[3.785, 0.000, 0.000], [0.000, 3.785, 0.000], [0.000, 0.000, 6.768]],
  "species": ["Sn", "Sn", "Th", "Ti"],
  "frac_coords": [[0.000, 0.000, 0.789], [0.000, 0.000, 0.211], [0.500, 0.500, 0.500], [0.500, 0.500, 0.000]]
}

=====

E (computed, eV/atom): -5.854 -6.917 -4.505 -6.087 -7.003 -5.342 -5.736 -7.125 -6.169 -5.477 -6.680 -6.626 -5.680 -6.077 -5.166 -5.306 -6.578 -5.861 -5.740 -6.129 -6.469 -7.103 -6.086 -6.128